# ZnSeF

A geometry-optimized ZnSeF structure (PBE, Alexandria via LeMat-Bulk).

POSCAR file:
```
ZnSeF
1.0
5.3934 0.0000 0.0000
-1.4025 5.2129 0.0000
-2.5268 -2.1372 4.9024
Zn Se F
2 2 2
Direct
0.0000 0.0000 0.0000
0.4767 0.2701 0.7457
0.2953 0.4543 0.0347
0.8946 0.5329 0.7092
0.1370 0.0283 0.3740
0.5943 0.9924 0.8793
```

Summary:
Fermi-level density of states, states/eV/f.u.: 0.00
DFT total energy, eV per atom: -3.531
Symmetry: P1
Formation energy without anion corrections, meV/atom: -1321
Energy above the most stable polymorph in this dataset, eV/atom: 0.000